La6Ge2AsI3 (GGA-PBE, relaxed); ρ = 5969 kg/m³; E_form (uncorrected) = -1399.3 kJ/mol of formula units; D(E_F) = 0.54 states/eV/atom; symmetry = C2/m; size of the total moment = 0.00 μB/atom
1.0
7.692 -0.001 0.001
-3.845 6.663 0.001
-1.283 -2.221 7.785
I As La Ge
3 1 6 2
Direct
0.167 0.833 0.500 I
0.833 0.167 0.500 I
0.500 0.500 0.500 I
0.000 0.000 0.000 As
0.067 0.401 0.202 La
0.266 0.266 0.797 La
0.933 0.599 0.798 La
0.401 0.067 0.202 La
0.599 0.933 0.798 La
0.734 0.734 0.203 La
0.666 0.334 0.000 Ge
0.334 0.666 0.000 Ge

LaGeAs2I (GGA-PBE, relaxed); ρ = 4097 kg/m³; E_form (uncorrected) = 219.6 kJ/mol of formula units; D(E_F) = 1.29 states/eV/atom; symmetry = P4/mmm; size of the total moment = 0.02 μB/atom
1.0
5.676 0.000 0.000
0.000 6.142 0.000
0.000 0.000 5.676
As La Ge I
2 1 1 1
Direct
0.000 0.000 0.500 As
0.500 0.000 0.000 As
0.000 0.000 0.000 La
0.500 0.500 0.500 Ge
0.000 0.500 0.000 I

La4GeAsI2 (GGA-PBE, relaxed); ρ = 5999 kg/m³; E_form (uncorrected) = -972.9 kJ/mol of formula units; D(E_F) = 0.51 states/eV/atom; symmetry = P2/m; size of the total moment = 0.00 μB/atom
1.0
4.436 0.000 0.000
0.000 7.669 0.130
0.000 -2.694 7.740
I La Ge As
2 4 1 1
Direct
0.500 0.000 0.500 I
0.000 0.500 0.500 I
0.500 0.234 0.202 La
0.000 0.266 0.799 La
0.000 0.734 0.201 La
0.500 0.766 0.798 La
0.000 0.000 0.000 Ge
0.500 0.500 0.000 As

La6Ge2As3I (GGA-PBE, relaxed); ρ = 5981 kg/m³; E_form (uncorrected) = -1466.1 kJ/mol of formula units; D(E_F) = 0.29 states/eV/atom; symmetry = C2/m; size of the total moment = 0.00 μB/atom
1.0
4.384 0.000 0.000
0.000 8.967 0.327
-2.192 -2.579 9.301
As La I Ge
3 6 1 2
Direct
0.162 0.834 0.325 As
0.838 0.166 0.675 As
0.500 0.500 0.000 As
0.667 0.585 0.335 La
0.675 0.088 0.349 La
0.333 0.415 0.665 La
0.001 0.275 0.003 La
0.325 0.912 0.651 La
0.999 0.725 0.997 La
0.500 0.000 0.000 I
0.836 0.671 0.671 Ge
0.164 0.329 0.329 Ge

La8GeAs3I4 (GGA-PBE, relaxed); ρ = 6050 kg/m³; E_form (uncorrected) = -2060.9 kJ/mol of formula units; D(E_F) = 0.52 states/eV/atom; symmetry = R-3m; size of the total moment = 0.00 μB/atom
1.0
-0.791 -8.551 2.179
-1.940 -2.071 -8.830
7.513 4.347 1.775
La Ge I As
8 1 4 3
Direct
0.734 0.701 0.967 La
0.733 0.700 0.467 La
0.266 0.299 0.033 La
0.234 0.701 0.468 La
0.766 0.299 0.532 La
0.766 0.299 0.033 La
0.234 0.701 0.967 La
0.267 0.300 0.533 La
0.000 0.500 0.000 Ge
0.000 0.000 0.000 I
0.500 0.000 0.000 I
0.500 0.000 0.500 I
0.000 0.000 0.500 I
0.500 0.500 0.500 As
0.000 0.500 0.500 As
0.500 0.500 0.000 As

MgGe2AsI (GGA-PBE, relaxed); ρ = 3843 kg/m³; E_form (uncorrected) = 513.1 kJ/mol of formula units; D(E_F) = 0.59 states/eV/atom; symmetry = P4/mmm; size of the total moment = 0.00 μB/atom
1.0
5.468 0.000 0.000
0.000 5.368 0.000
0.000 0.000 5.468
Ge I Mg As
2 1 1 1
Direct
0.000 0.000 0.500 Ge
0.500 0.000 0.000 Ge
0.000 0.000 0.000 I
0.000 0.500 0.000 Mg
0.500 0.500 0.500 As

- Which value of E_form (uncorrected) does entry 1 give?
  -1399.3 kJ/mol of formula units

Please write out number 4 again, unchanged.
La6Ge2As3I (GGA-PBE, relaxed); ρ = 5981 kg/m³; E_form (uncorrected) = -1466.1 kJ/mol of formula units; D(E_F) = 0.29 states/eV/atom; symmetry = C2/m; size of the total moment = 0.00 μB/atom
1.0
4.384 0.000 0.000
0.000 8.967 0.327
-2.192 -2.579 9.301
As La I Ge
3 6 1 2
Direct
0.162 0.834 0.325 As
0.838 0.166 0.675 As
0.500 0.500 0.000 As
0.667 0.585 0.335 La
0.675 0.088 0.349 La
0.333 0.415 0.665 La
0.001 0.275 0.003 La
0.325 0.912 0.651 La
0.999 0.725 0.997 La
0.500 0.000 0.000 I
0.836 0.671 0.671 Ge
0.164 0.329 0.329 Ge